# 1
PBE Sc10As3Se3, relaxed; M_tot = 0.000 μB per cell; raw total energy = -6.591 eV/atom; uncorrected formation energy = -1108 meV per atom
1.0
8.010 0.000 0.000
-4.005 6.937 0.000
0.000 0.000 5.590
Sc As Se
10 3 3
direct
0.000 0.253 0.000
0.000 0.746 0.500
0.253 0.000 0.000
0.254 0.254 0.500
0.333 0.667 0.247
0.333 0.667 0.753
0.667 0.333 0.247
0.667 0.333 0.753
0.746 0.000 0.500
0.747 0.747 0.000
0.000 0.616 0.000
0.384 0.384 0.000
0.616 0.000 0.000
0.000 0.383 0.500
0.383 0.000 0.500
0.617 0.617 0.500


# 2
PBE Sc4AsSe3, relaxed; M_tot = 0.000 μB per cell; raw total energy = -6.632 eV/atom; uncorrected formation energy = -1578 meV per atom
1.0
3.892 -5.487 0.000
3.892 5.487 0.000
0.000 0.000 3.866
Sc As Se
4 1 3
direct
0.238 0.238 0.500
0.243 0.757 0.000
0.757 0.243 0.000
0.762 0.762 0.500
0.000 0.000 0.000
0.000 0.500 0.500
0.500 0.000 0.500
0.500 0.500 0.000


# 3
PBE Sc2As2Se, relaxed; M_tot = 0.360 μB per cell; raw total energy = -6.066 eV/atom; uncorrected formation energy = -977 meV per atom; offset from the most stable computed form = 0.30 eV per formula unit
1.0
-1.896 1.896 7.102
1.896 -1.896 7.102
1.896 1.896 -7.102
Sc As Se
2 2 1
direct
0.108 0.108 0.000
0.892 0.892 0.000
0.250 0.750 0.500
0.750 0.250 0.500
0.500 0.500 0.000


# 4
PBE ScAsSe, relaxed; M_tot = 0.000 μB per cell; raw total energy = -5.494 eV/atom; uncorrected formation energy = -672 meV per atom
1.0
3.581 0.000 0.000
-1.791 3.101 0.000
0.000 0.000 6.296
Sc As Se
1 1 1
direct
0.000 0.000 0.000
0.333 0.667 0.679
0.667 0.333 0.252


# 5
PBE Sc4AsSe, relaxed; M_tot = 0.000 μB per cell; raw total energy = -5.618 eV/atom; uncorrected formation energy = -42 meV per atom
1.0
0.000 4.025 4.025
4.025 0.000 4.025
4.025 4.025 0.000
Sc As Se
4 1 1
direct
0.376 0.376 0.376
0.376 0.376 0.873
0.376 0.873 0.376
0.873 0.376 0.376
0.750 0.750 0.750
0.000 0.000 0.000


# 6
PBE Sc5As4Se, relaxed; M_tot = 0.000 μB per cell; raw total energy = -6.833 eV/atom; uncorrected formation energy = -1459 meV per atom
1.0
-1.940 2.740 9.707
1.940 -2.740 9.707
1.940 2.740 -9.707
Sc As Se
5 4 1
direct
0.000 0.000 0.000
0.199 0.199 0.000
0.395 0.395 0.000
0.605 0.605 0.000
0.801 0.801 0.000
0.099 0.599 0.500
0.299 0.799 0.500
0.701 0.201 0.500
0.901 0.401 0.500
0.500 0.000 0.500


# 7
PBE ScAsSe3, relaxed; M_tot = 0.000 μB per cell; raw total energy = -4.339 eV/atom; uncorrected formation energy = -52 meV per atom; offset from the most stable computed form = 0.16 eV per formula unit
1.0
5.108 0.000 0.000
0.000 5.108 0.000
0.000 0.000 5.108
Sc As Se
1 1 3
direct
0.000 0.000 0.000
0.500 0.500 0.500
0.000 0.000 0.500
0.000 0.500 0.000
0.500 0.000 0.000


# 8
PBE ScAsSe3, relaxed; M_tot = 0.000 μB per cell; raw total energy = -4.371 eV/atom; uncorrected formation energy = -84 meV per atom; offset from the most stable computed form = 0.00 eV per formula unit
1.0
4.983 0.000 0.000
0.000 4.983 0.000
0.000 0.000 4.983
Sc As Se
1 1 3
direct
0.000 0.000 0.000
0.500 0.500 0.500
0.000 0.500 0.500
0.500 0.000 0.500
0.500 0.500 0.000